The following is a meta-GGA SCAN calculation of a crystal of BiSbSN2 relaxed with PBEsol, from Alexandria via LeMat-Bulk.

a = 4.237 Å, b = 4.237 Å, c = 5.222 Å
α = 90.00°, β = 90.00°, γ = 90.00°
Each line ends with the local moment (μB).
Fractional coordinates of all 5 atoms:
N  0.000  0.500  0.000  0.46
N  0.500  0.000  0.000  0.46
Sb  0.500  0.500  0.500  -0.10
S  0.000  0.000  0.500  -0.01
Bi  0.000  0.000  0.000  -0.06

DOS at the Fermi energy   2.1 states/eV/cell
ΔE to the lowest computed polymorph   517 meV per atom
Uncorrected energy   -27.262 eV per atom
M_tot   1.0 μB per cell
Formation energy without anion corrections   1.55 eV per atom